[1]
The following is a DFT calculation (PBE) of a geometry-optimized Ho2SnHRh6 structure.

Uncorrected energy: -65.24 eV/f.u.

abc: 6.9566 5.6387 6.9730
angles: 66.37 47.41 90.06
Last column: nearest neighbours and their distance in Å.
Positions (direct):
Ho 0.7201 0.2643 0.4637  6 Rh 2.93-2.97
Ho 0.2799 0.7357 0.5363  6 Rh 2.93-2.97
Sn 0.0000 0.0000 0.0000  6 Rh 2.58-2.60
H 0.5000 0.5000 0.0000  6 Rh 1.93-1.96
Rh 0.2378 0.2830 0.4441  1 H 1.93
Rh 0.7323 0.7945 0.9283  1 H 1.96
Rh 0.2653 0.7144 0.0626  1 H 1.94
Rh 0.7347 0.2856 0.9374  1 H 1.94
Rh 0.2677 0.2055 0.0717  1 H 1.96
Rh 0.7622 0.7170 0.5559  1 H 1.93

---

[2]
The following is a DFT calculation (PBE) of a geometry-optimized LiCaSe4 structure.

Raw formation energy: -0.28 eV per atom

abc: 5.9100 5.9100 5.9100
angles: 60.00 60.00 60.00
Last column: nearest neighbours and their distance in Å.
Positions (direct):
Li 0.0000 0.0000 0.0000  12 Se 3.46, 4 Ca 3.62
Ca 0.7500 0.7500 0.7500  12 Se 3.47, 4 Li 3.62
Se 0.8757 0.3748 0.3748  6 Se 2.95-2.96
Se 0.3748 0.3748 0.8757  6 Se 2.95-2.96
Se 0.3748 0.8757 0.3748  6 Se 2.95-2.96
Se 0.3748 0.3748 0.3748  6 Se 2.95-2.96

---

[3]
The following is a DFT calculation (PBE) of a geometry-optimized Sn2TeRh2 structure.

Distance to the lowest polymorph of the same formula: 0 meV per atom
Raw formation energy: -0.25 eV per atom

abc: 7.9093 7.9093 3.1442
angles: 90.00 90.00 90.00
Last column: nearest neighbours and their distance in Å.
Positions (direct):
Te 0.0000 0.0000 0.0000  4 Rh 3.03, 2 Te 3.14
Te 0.5000 0.5000 0.0000  4 Rh 3.03, 2 Te 3.14
Rh 0.3542 0.8542 0.0000  6 Sn 2.80, 2 Te 3.03
Rh 0.8542 0.6458 0.0000  6 Sn 2.80, 2 Te 3.03
Rh 0.6458 0.1458 0.0000  6 Sn 2.80, 2 Te 3.03
Rh 0.1458 0.3542 0.0000  6 Sn 2.80, 2 Te 3.03
Sn 0.1475 0.6475 0.5000  6 Rh 2.80
Sn 0.6475 0.8525 0.5000  6 Rh 2.80
Sn 0.8525 0.3525 0.5000  6 Rh 2.80
Sn 0.3525 0.1475 0.5000  6 Rh 2.80

---

[4]
The following is a DFT calculation (PBE) of a geometry-optimized AcZn2TcN4 structure.

Raw formation energy: -0.24 eV per atom

abc: 5.5289 5.3519 5.3519
angles: 83.38 58.90 58.90
Last column: nearest neighbours and their distance in Å.
Positions (direct):
Ac 0.0000 0.0000 0.0000  8 N 2.72-2.88
Zn 0.5000 0.7603 0.2397  4 N 2.14-2.19
Zn 0.5000 0.2397 0.7603  4 N 2.14-2.19
Tc 0.0000 0.5000 0.5000  4 N 1.88
N 0.6201 0.5301 0.8411  1 Tc 1.88
N 0.3799 0.1589 0.4699  1 Tc 1.88
N 0.9913 0.4699 0.1589  1 Tc 1.88
N 0.0087 0.8411 0.5301  1 Tc 1.88

---

[5]
The following is a DFT calculation (PBE) of a geometry-optimized Li3Ac2AlIn4 structure.

Formation enthalpy at 0 K: -0.362 eV/atom

abc: 4.7219 4.7219 11.2859
angles: 90.00 90.00 90.00
Last column: nearest neighbours and their distance in Å.
Positions (direct):
Li 0.0000 0.0000 0.5000  4 In 2.80
Li 0.5000 0.0000 0.8712  5 In 2.69-2.77
Li 0.0000 0.5000 0.1288  5 In 2.69-2.77
Ac 0.5000 0.0000 0.2545  8 In 3.57-3.72, 6 Li 3.63-3.64, 2 Al 3.64
Ac 0.0000 0.5000 0.7455  8 In 3.57-3.72, 6 Li 3.63-3.64, 2 Al 3.64
Al 0.5000 0.5000 0.5000  4 In 2.80
In 0.5000 0.5000 0.0000  4 Li 2.77
In 0.0000 0.0000 0.0000  4 Li 2.77
In 0.5000 0.0000 0.6329  3 Li 2.69-2.80, 2 Al 2.80
In 0.0000 0.5000 0.3671  3 Li 2.69-2.80, 2 Al 2.80

---

[6]
The following is a DFT calculation (PBE) of a geometry-optimized LuSc2Mo structure.

Distance to the lowest polymorph of the same formula: 123 meV per atom
Formation enthalpy at 0 K: 0.259 eV/atom

abc: 3.2783 3.2783 10.0612
angles: 80.62 80.62 60.00
Last column: nearest neighbours and their distance in Å.
Positions (direct):
Sc 0.2652 0.2652 0.2043  3 Mo 2.77
Sc 0.7348 0.7348 0.7957  3 Mo 2.77
Mo 0.0000 0.0000 0.0000  6 Sc 2.77
Lu 0.5000 0.5000 0.5000  6 Lu 3.28, 6 Sc 3.48